Entry a
{
  "formula": "NaMg2Ta",
  "functional": "PBE",
  "state": "optimized geometry",
  "lattice": [[7.637, 0.000, 0.000], [0.000, 7.637, 0.000], [3.819, 3.819, 3.102]],
  "species": ["Na", "Na", "Mg", "Mg", "Mg", "Mg", "Ta", "Ta"],
  "frac_coords": [[0.500, 0.500, 0.000], [0.250, 0.750, 0.500], [0.618, 0.125, 0.250], [0.132, 0.625, 0.250], [0.375, 0.382, 0.750], [0.875, 0.868, 0.750], [0.000, 0.000, 0.000], [0.750, 0.250, 0.500]]
}

Entry b
{
  "formula": "NaMg2Ta",
  "functional": "PBE",
  "state": "optimized geometry",
  "lattice": [[0.000, 3.515, 3.515], [3.515, 0.000, 3.515], [3.515, 3.515, 0.000]],
  "species": ["Na", "Mg", "Mg", "Ta"],
  "frac_coords": [[0.000, 0.000, 0.000], [0.250, 0.250, 0.250], [0.750, 0.750, 0.750], [0.500, 0.500, 0.500]]
}

In terms of stability, entry b leads; the second structure lies 301 meV/atom higher.